LiTcNi: relaxed, PBE.

Calculated values
**Total energy**: -17.9 eV/f.u.
**Relative energy among the computed polymorphs**: 0 meV per atom
**Formation energy**: 0.063 eV per atom

Cell: 7.186 7.186 4.298 Å, 90.00 90.00 159.56°
Fractional coordinates of all 6 atoms:
Li 0.228 0.772 0.250
Li 0.772 0.228 0.750
Tc 0.446 0.554 0.750
Tc 0.554 0.446 0.250
Ni 0.108 0.892 0.750
Ni 0.892 0.108 0.250



BaSrTe4: relaxed, PBE.

Calculated values
**Total energy**: -23.1 eV/f.u.
**Relative energy among the computed polymorphs**: 0 meV per atom

Cell: 7.135 7.135 8.861 Å, 90.00 90.00 90.00°
Fractional coordinates of all 12 atoms:
Te 0.640 0.140 0.763
Te 0.640 0.860 0.237
Te 0.360 0.140 0.237
Te 0.140 0.360 0.763
Te 0.860 0.640 0.763
Te 0.860 0.360 0.237
Te 0.360 0.860 0.763
Te 0.140 0.640 0.237
Sr 0.000 0.000 0.000
Sr 0.500 0.500 0.000
Ba 0.000 0.000 0.500
Ba 0.500 0.500 0.500



ScCdCo: relaxed, PBE.

Calculated values
**Total energy**: -14.8 eV/f.u.
**Relative energy among the computed polymorphs**: 118 meV per atom
**Formation energy**: -0.150 eV per atom

Cell: 5.530 5.530 3.225 Å, 73.05 73.04 33.90°
Each line ends with the local moment (μB).
Fractional coordinates of all 3 atoms:
Co 0.677 0.677 0.323  0.68
Cd 0.015 0.015 0.985  -0.02
Sc 0.308 0.308 0.692  -0.14



TlCuRe2Ge: relaxed, PBE.

Calculated values
**Total energy**: -21.4 eV/f.u.
**Formation energy**: 2.911 eV per atom

Cell: 5.120 5.156 5.120 Å, 90.00 90.00 90.00°
Each line ends with the local moment (μB).
Fractional coordinates of all 5 atoms:
Tl 0.000 0.000 0.000  -0.01
Ge 0.000 0.500 0.000  -0.14
Cu 0.500 0.500 0.500  0.07
Re 0.000 0.000 0.500  2.45
Re 0.500 0.000 0.000  1.97



MgZrSe2: relaxed, PBE.

Calculated values
**Total energy**: -21.3 eV/f.u.

Cell: 3.461 3.483 6.983 Å, 72.03 90.00 90.00°
Fractional coordinates of all 4 atoms:
Se 0.000 0.893 0.017
Se 0.000 0.607 0.483
Zr 0.500 0.250 0.250
Mg 0.500 0.750 0.750



Ba3AlAg: relaxed, PBE.

Calculated values
**Total energy**: -11.3 eV/f.u.
**Relative energy among the computed polymorphs**: 343 meV per atom
**Formation energy**: 0.206 eV per atom

Cell: 6.326 6.326 6.326 Å, 90.00 90.00 90.00°
Each line ends with the local moment (μB).
Fractional coordinates of all 5 atoms:
Al 0.500 0.500 0.500  0.08
Ba 0.500 0.000 0.000  0.02
Ba 0.000 0.500 0.000  0.03
Ba 0.000 0.000 0.500  0.01
Ag 0.000 0.000 0.000  0.00



CsNa3In: relaxed, PBE.

Calculated values
**Total energy**: -7.6 eV/f.u.
**Relative energy among the computed polymorphs**: 0 meV per atom
**Formation energy**: -0.016 eV per atom

Cell: 6.750 7.839 8.939 Å, 116.01 90.00 90.00°
Fractional coordinates of all 10 atoms:
Na 0.750 0.635 0.703
Na 0.750 0.178 0.355
Na 0.250 0.822 0.645
Na 0.250 0.932 0.297
Na 0.750 0.068 0.703
Na 0.250 0.365 0.297
Cs 0.250 0.410 0.820
Cs 0.750 0.590 0.180
In 0.000 0.000 0.000
In 0.500 0.000 0.000



CuBrN2: relaxed, PBE.

Calculated values
**Total energy**: -12.8 eV/f.u.
**Relative energy among the computed polymorphs**: 2489 meV per atom

Cell: 3.968 3.968 3.968 Å, 60.00 60.00 60.00°
Fractional coordinates of all 4 atoms:
N 0.750 0.750 0.750
N 0.250 0.250 0.250
Cu 0.000 0.000 0.000
Br 0.500 0.500 0.500



ScTlOs2I: relaxed, PBE.

Calculated values
**Total energy**: -23.1 eV/f.u.

Cell: 4.831 5.677 4.831 Å, 90.00 90.00 90.00°
Fractional coordinates of all 5 atoms:
Os 0.500 0.000 0.000
Os 0.000 0.000 0.500
Sc 0.500 0.500 0.500
I 0.000 0.000 0.000
Tl 0.000 0.500 0.000



NaSiI2N: relaxed, PBE.

Calculated values
**Total energy**: -19.0 eV/f.u.
**Relative energy among the computed polymorphs**: 0 meV per atom

Cell: 5.937 5.937 3.419 Å, 90.00 90.00 90.00°
Fractional coordinates of all 5 atoms:
I 0.500 0.000 0.000
I 0.000 0.500 0.000
Na 0.500 0.500 0.500
N 0.000 0.000 0.500
Si 0.000 0.000 0.000



Ce2TlAg: relaxed, PBE.

Calculated values
**Total energy**: -17.1 eV/f.u.
**Relative energy among the computed polymorphs**: 144 meV per atom
**Formation energy**: -0.008 eV per atom

Cell: 3.259 3.259 11.208 Å, 81.64 81.64 60.00°
Each line ends with the local moment (μB).
Fractional coordinates of all 4 atoms:
Tl 0.500 0.500 0.500  0.00
Ce 0.254 0.254 0.239  0.52
Ce 0.746 0.746 0.761  0.52
Ag 0.000 0.000 0.000  0.01



KLiHgIr2: relaxed, PBE.

Calculated values
**Total energy**: -14.2 eV/f.u.
**Formation energy**: 1.359 eV per atom

Cell: 5.101 5.702 5.101 Å, 90.00 90.00 90.00°
Each line ends with the local moment (μB).
Fractional coordinates of all 5 atoms:
Ir 0.000 0.000 0.500  0.68
Ir 0.500 0.000 0.000  0.53
Li 0.500 0.500 0.500  -0.01
Hg 0.000 0.000 0.000  0.00
K 0.000 0.500 0.000  -0.01



TcBr2F: relaxed, PBE.

Calculated values
**Total energy**: -15.8 eV/f.u.
**Relative energy among the computed polymorphs**: 731 meV per atom

Cell: 6.458 6.458 6.430 Å, 59.85 59.85 90.00°
Fractional coordinates of all 8 atoms:
Br 0.875 0.916 0.750
Br 0.666 0.125 0.250
Br 0.375 0.334 0.750
Br 0.084 0.625 0.250
Tc 0.000 0.000 0.000
Tc 0.750 0.250 0.500
F 0.250 0.750 0.500
F 0.500 0.500 0.000



KSrPS4: relaxed, PBE.

Calculated values
**Total energy**: -32.9 eV/f.u.

Cell: 6.723 6.692 8.939 Å, 90.00 106.24 90.00°
Fractional coordinates of all 14 atoms:
Sr 0.233 0.250 0.547
Sr 0.767 0.750 0.453
S 0.400 0.750 0.168
S 0.600 0.250 0.832
S 0.639 0.250 0.459
S 0.989 0.005 0.737
S 0.011 0.995 0.263
S 0.011 0.505 0.263
S 0.989 0.495 0.737
S 0.361 0.750 0.541
P 0.796 0.250 0.692
P 0.204 0.750 0.308
K 0.736 0.750 0.939
K 0.264 0.250 0.061



Ba2SiI: relaxed, PBE.

Calculated values
**Total energy**: -14.0 eV/f.u.
**Relative energy among the computed polymorphs**: 10 meV per atom

Cell: 4.817 4.817 9.151 Å, 74.74 74.74 60.00°
Each line ends with the local moment (μB).
Fractional coordinates of all 4 atoms:
Ba 0.738 0.738 0.787  0.07
Ba 0.262 0.262 0.213  0.07
I 0.500 0.500 0.500  0.00
Si 0.000 0.000 0.000  0.24



TcAsBr2: relaxed, PBE.

Calculated values
**Total energy**: -17.8 eV/f.u.
**Relative energy among the computed polymorphs**: 181 meV per atom

Cell: 8.143 8.143 8.143 Å, 157.80 149.75 37.84°
Fractional coordinates of all 4 atoms:
Br 0.891 0.891 0.000
Br 0.609 0.609 0.000
As 0.250 0.750 0.500
Tc 0.750 0.250 0.500



Cr5Ir6Ru: relaxed, PBE.

Calculated values
**Total energy**: -108.6 eV/f.u.
**Formation energy**: 0.165 eV per atom

Cell: 2.754 8.281 8.281 Å, 113.14 99.57 99.57°
Fractional coordinates of all 12 atoms:
Cr 0.000 0.637 0.363
Cr 0.500 0.219 0.781
Cr 0.000 0.363 0.637
Cr 0.500 0.500 0.500
Cr 0.500 0.781 0.219
Ir 0.760 0.925 0.595
Ir 0.760 0.260 0.260
Ir 0.240 0.740 0.740
Ir 0.240 0.075 0.405
Ir 0.240 0.405 0.075
Ir 0.760 0.595 0.925
Ru 0.000 0.000 0.000



TmPd2F8: relaxed, PBE.

Calculated values
**Total energy**: -54.4 eV/f.u.

Cell: 4.999 7.056 5.909 Å, 126.66 84.99 89.99°
Fractional coordinates of all 11 atoms:
F 0.757 0.329 0.226
F 0.243 0.671 0.774
F 0.755 0.829 0.657
F 0.245 0.171 0.343
F 0.243 0.103 0.774
F 0.262 0.590 0.180
F 0.738 0.410 0.820
F 0.757 0.897 0.226
Tm 0.000 0.000 0.000
Pd 0.749 0.617 0.235
Pd 0.251 0.383 0.765



ThSc2Cd: relaxed, PBE.

Calculated values
**Total energy**: -21.2 eV/f.u.
**Relative energy among the computed polymorphs**: 104 meV per atom
**Formation energy**: -0.054 eV per atom

Cell: 3.428 3.428 10.340 Å, 80.46 80.46 60.00°
Fractional coordinates of all 4 atoms:
Th 0.500 0.500 0.500
Sc 0.746 0.746 0.763
Sc 0.254 0.254 0.237
Cd 0.000 0.000 0.000



B4MoW3: relaxed, PBE.

Calculated values
**Total energy**: -77.9 eV/f.u.
**Formation energy**: -0.192 eV per atom

Cell: 3.069 4.798 6.725 Å, 110.90 103.23 89.98°
Fractional coordinates of all 8 atoms:
W 0.000 0.500 0.000
W 0.191 0.192 0.384
W 0.809 0.808 0.616
Mo 0.500 0.000 0.000
B 0.634 0.808 0.267
B 0.633 0.458 0.267
B 0.367 0.542 0.733
B 0.366 0.192 0.733



PaAgHg2: relaxed, PBE.

Calculated values
**Total energy**: -12.7 eV/f.u.
**Relative energy among the computed polymorphs**: 0 meV per atom
**Formation energy**: 0.054 eV per atom

Cell: 3.183 3.183 10.433 Å, 81.32 81.32 60.00°
Fractional coordinates of all 4 atoms:
Hg 0.078 0.078 0.768
Hg 0.256 0.256 0.233
Pa 0.500 0.500 0.500
Ag 0.667 0.667 0.000



MgTa2Cl: relaxed, PBE.

Calculated values
**Total energy**: -26.1 eV/f.u.
**Relative energy among the computed polymorphs**: 319 meV per atom

Cell: 9.589 9.589 9.589 Å, 17.84 17.84 17.84°
Fractional coordinates of all 4 atoms:
Mg 0.750 0.750 0.750
Ta 0.993 0.993 0.993
Ta 0.507 0.507 0.507
Cl 0.250 0.250 0.250



Ba6SnI7: relaxed, PBE.

Calculated values
**Total energy**: -46.5 eV/f.u.

Cell: 10.000 10.000 10.000 Å, 60.00 60.00 60.00°
Fractional coordinates of all 14 atoms:
Ba 0.206 0.866 0.257
Ba 0.671 0.206 0.257
Ba 0.826 0.030 0.755
Ba 0.030 0.389 0.755
Ba 0.389 0.826 0.755
Ba 0.866 0.671 0.257
I 0.241 0.470 0.325
I 0.964 0.241 0.325
I 0.684 0.459 0.689
I 0.470 0.964 0.325
I 0.660 0.660 0.020
I 0.459 0.168 0.689
I 0.168 0.684 0.689
Sn 0.003 0.003 0.992



Pr3Al7Pt4: relaxed, PBE.

Calculated values
**Total energy**: -78.1 eV/f.u.
**Formation energy**: -0.958 eV per atom

Cell: 4.334 8.308 8.531 Å, 69.54 75.29 74.88°
Fractional coordinates of all 14 atoms:
Pr 0.311 0.186 0.193
Pr 0.689 0.814 0.807
Pr 0.000 0.500 0.500
Al 0.000 0.000 0.000
Al 0.682 0.165 0.472
Al 0.497 0.216 0.790
Al 0.158 0.611 0.074
Al 0.318 0.835 0.528
Al 0.503 0.784 0.210
Al 0.842 0.389 0.926
Pt 0.342 0.533 0.783
Pt 0.658 0.467 0.217
Pt 0.119 0.108 0.653
Pt 0.881 0.892 0.347



ErPuGa2: relaxed, PBE.

Calculated values
**Total energy**: -26.6 eV/f.u.
**Relative energy among the computed polymorphs**: 0 meV per atom
**Formation energy**: -0.418 eV per atom

Cell: 5.035 5.035 5.035 Å, 60.00 60.00 60.00°
Each line ends with the local moment (μB).
Fractional coordinates of all 4 atoms:
Er 0.000 0.000 0.000  0.13
Pu 0.500 0.500 0.500  5.28
Ga 0.750 0.750 0.750  -0.01
Ga 0.250 0.250 0.250  -0.01



K2BePb: relaxed, PBE.

Calculated values
**Total energy**: -8.9 eV/f.u.
**Relative energy among the computed polymorphs**: 10 meV per atom
**Formation energy**: 0.177 eV per atom

Cell: 4.507 4.507 9.755 Å, 77.19 77.19 60.01°
Fractional coordinates of all 4 atoms:
Pb 0.458 0.458 0.625
K 0.042 0.042 0.887
K 0.208 0.208 0.363
Be 0.792 0.792 0.625